[1]
## Ho2ErTh4 (PBE)

Data for crystalline Ho2ErTh4 at its relaxed geometry.

Crystal system: tetragonal
Symmetry: I4/mmm
Distance to the lowest polymorph of the same formula (eV/f.u.): 6.27
ΔE_f (eV per formula unit): 6.865
DFT total energy (eV for the cell shown): -36.53
DOS at the Fermi energy (states/eV per atom): 2.370

Cell and atoms, written as CIF:
```
data_Ho2ErTh4
_cell_length_a 5.6641
_cell_length_b 5.6641
_cell_length_c 9.1119
_cell_angle_alpha 108.11
_cell_angle_beta 108.11
_cell_angle_gamma 90.00
_space_group_name_H-M_alt 'P 1'
_space_group_IT_number 1
_space_group_name_Hall 'P 1'
loop_
_atom_site_label
_atom_site_fract_x
_atom_site_fract_y
_atom_site_fract_z
_atom_site_occupancy
Th1 0.8137 0.8137 0.6273 1
Th2 0.5000 0.0000 0.0000 1
Th3 0.0000 0.5000 0.0000 1
Th4 0.1863 0.1863 0.3727 1
Ho1 0.3857 0.3857 0.7713 1
Ho2 0.6143 0.6143 0.2287 1
Er1 0.0000 0.0000 0.0000 1
```



[2]
## Ho6Er4Th (PBE)

Data for crystalline Ho6Er4Th at its relaxed geometry.

Crystal system: tetragonal
Symmetry: I-42m
ΔE_f (eV per formula unit): 5.151
DFT total energy (eV for the cell shown): -47.99
DOS at the Fermi energy (states/eV per atom): 1.522

Cell and atoms, written as CIF:
```
data_Ho6Er4Th
_cell_length_a 7.5419
_cell_length_b 7.5419
_cell_length_c 8.4156
_cell_angle_alpha 116.62
_cell_angle_beta 116.62
_cell_angle_gamma 90.00
_space_group_name_H-M_alt 'P 1'
_space_group_IT_number 1
_space_group_name_Hall 'P 1'
loop_
_atom_site_label
_atom_site_fract_x
_atom_site_fract_y
_atom_site_fract_z
_atom_site_occupancy
Ho1 0.5581 0.5581 0.6338 1
Ho2 0.5000 0.0000 0.0000 1
Ho3 0.0757 0.0757 0.6338 1
Ho4 0.9243 0.4419 0.3662 1
Ho5 0.4419 0.9243 0.3662 1
Ho6 0.0000 0.5000 0.0000 1
Er1 0.7553 0.0922 0.8474 1
Er2 0.2447 0.2447 0.1526 1
Er3 0.0922 0.7553 0.8474 1
Er4 0.9078 0.9078 0.1526 1
Th1 0.5000 0.5000 0.0000 1
```



[3]
## HoEr2Th (PBE)

Data for crystalline HoEr2Th at its relaxed geometry.

Crystal system: trigonal
Symmetry: R-3m
Distance to the lowest polymorph of the same formula (eV/f.u.): 0.13
ΔE_f (eV per formula unit): 0.095
DFT total energy (eV for the cell shown): -21.03
DOS at the Fermi energy (states/eV per atom): 1.468

Cell and atoms, written as CIF:
```
data_HoEr2Th
_cell_length_a 3.5472
_cell_length_b 3.5472
_cell_length_c 11.6139
_cell_angle_alpha 81.22
_cell_angle_beta 81.22
_cell_angle_gamma 60.00
_space_group_name_H-M_alt 'P 1'
_space_group_IT_number 1
_space_group_name_Hall 'P 1'
loop_
_atom_site_label
_atom_site_fract_x
_atom_site_fract_y
_atom_site_fract_z
_atom_site_occupancy
Er1 0.2490 0.2490 0.2529 1
Er2 0.7510 0.7510 0.7471 1
Th1 0.5000 0.5000 0.5000 1
Ho1 0.0000 0.0000 0.0000 1
```